i | Tl2SiCl: optimized geometry, PBE-GGA.

Geometry as POSCAR:
```
Tl2SiCl
1.0
-5.146 1.645 -5.102
-2.695 -3.581 -5.927
1.594 0.597 7.233
Tl Si Cl
2 1 1
Cartesian
-0.544 -0.134 -0.765
-3.376 -0.834 -4.750
-2.510 -1.976 -2.104
-3.736 0.637 -1.692
```

Output
Symmetry = Immm, No. 71

=====

ii | Tl2SiCl: optimized geometry, PBE-GGA.

Geometry as POSCAR:
```
Tl2SiCl
1.0
-9.826 -2.815 -1.066
-8.453 -4.476 -3.758
-8.381 -5.915 -0.626
Si Cl Tl
1 1 2
Cartesian
-20.182 -9.997 -4.126
-12.860 -6.370 -2.629
-0.328 -0.162 -0.067
-6.620 -3.279 -1.353
```

Output
Symmetry = R3m, No. 160

=====

iii | Tl2SiCl: optimized geometry, PBE-GGA.

Geometry as POSCAR:
```
Tl2SiCl
1.0
-1.392 3.808 4.958
-3.397 -4.725 2.675
3.458 -2.743 7.213
Tl Si Cl
4 2 2
Cartesian
-1.491 -3.002 4.304
-1.453 -2.660 11.976
0.654 -2.601 8.386
-0.371 0.943 5.027
-1.167 -3.963 6.853
-2.394 -0.459 3.817
-0.164 0.303 7.994
0.000 0.000 0.000
```

Output
Symmetry = I-42d, No. 122

=====

Most favorable structure: iii. The second most favorable one is 0.057 eV/atom above it.